Record 1
{
  "formula": "VHSCl2",
  "functional": "PBE-GGA",
  "state": "optimized geometry",
  "lattice": [[4.821, 0.000, 0.000], [0.000, 4.821, 0.000], [0.000, 0.000, 4.482]],
  "species": ["V", "H", "S", "Cl", "Cl"],
  "fractional_positions": [[0.000, 0.000, 0.000], [0.500, 0.500, 0.500], [0.000, 0.000, 0.500], [0.000, 0.500, 0.000], [0.500, 0.000, 0.000]],
  "polymorph_energy_mev_per_atom": 0,
  "energy_ev_per_atom": -4.16,
  "magnetic_moment_mub_per_fu": 1.97
}



Record 2
{
  "formula": "VHS2Cl",
  "functional": "PBE-GGA",
  "state": "optimized geometry",
  "lattice": [[3.711, 0.000, 0.000], [0.000, 3.711, 0.000], [0.000, 0.000, 5.253]],
  "species": ["V", "H", "S", "S", "Cl"],
  "fractional_positions": [[0.000, 0.000, 0.000], [0.500, 0.500, 0.500], [0.000, 0.500, 0.500], [0.500, 0.000, 0.500], [0.500, 0.500, 0.000]],
  "polymorph_energy_mev_per_atom": 497,
  "energy_ev_per_atom": -3.91,
  "magnetic_moment_mub_per_fu": 0.08
}



Record 3
{
  "formula": "HWS2Cl",
  "functional": "PBE-GGA",
  "state": "optimized geometry",
  "lattice": [[4.638, 0.000, 0.000], [0.000, 4.638, 0.000], [0.000, 0.000, 4.925]],
  "species": ["H", "W", "S", "S", "Cl"],
  "fractional_positions": [[0.000, 0.000, 0.000], [0.500, 0.500, 0.500], [0.000, 0.500, 0.500], [0.500, 0.000, 0.500], [0.500, 0.500, 0.000]],
  "polymorph_energy_mev_per_atom": 0,
  "energy_ev_per_atom": -4.97,
  "magnetic_moment_mub_per_fu": 1.00
}



Please write out number 1 again, unchanged.
{
  "formula": "VHSCl2",
  "functional": "PBE-GGA",
  "state": "optimized geometry",
  "lattice": [[4.821, 0.000, 0.000], [0.000, 4.821, 0.000], [0.000, 0.000, 4.482]],
  "species": ["V", "H", "S", "Cl", "Cl"],
  "fractional_positions": [[0.000, 0.000, 0.000], [0.500, 0.500, 0.500], [0.000, 0.000, 0.500], [0.000, 0.500, 0.000], [0.500, 0.000, 0.000]],
  "polymorph_energy_mev_per_atom": 0,
  "energy_ev_per_atom": -4.16,
  "magnetic_moment_mub_per_fu": 1.97
}